The following is a PBE calculation of crystalline PmSb2Pb at its relaxed geometry, from the Alexandria database.

- calculated volume (Å³ per atom) = 29.28
- SG = P4/mmm
- raw formation energy (meV per atom) = -504
- density of states at the Fermi level (states/eV/atom) = 0.710
- E above lowest polymorph (meV per atom) = 0

Cell lengths 4.2062, 4.2062, 6.6201 Å; angles 90.00, 90.00, 90.00 degrees
Fractional positions:
1 Pm 0.0000 0.0000 0.0000
2 Sb 0.5000 0.5000 0.2331
3 Sb 0.5000 0.5000 0.7669
4 Pb 0.0000 0.0000 0.5000

The following is a PBE calculation of crystalline K2Pu2I7 at its relaxed geometry, from the Alexandria database.

- calculated volume (Å³ per atom) = 46.11
- SG = Cmmm
- raw formation energy (meV per atom) = -1186
- density of states at the Fermi level (states/eV/atom) = 2.403

Cell lengths 7.8470, 7.8470, 8.3328 Å; angles 90.00, 90.00, 98.67 degrees
Fractional positions:
1 K 0.2434 0.2434 0.0000
2 K 0.7566 0.7566 0.0000
3 Pu 0.2785 0.7215 0.5000
4 Pu 0.7215 0.2785 0.5000
5 I 0.0000 0.0000 0.5000
6 I 0.0000 0.5000 0.2574
7 I 0.0000 0.5000 0.7426
8 I 0.5000 0.0000 0.2574
9 I 0.5000 0.0000 0.7426
10 I 0.5000 0.5000 0.2730
11 I 0.5000 0.5000 0.7270

The following is a PBE calculation of crystalline CuTePb2O5 at its relaxed geometry, from the Alexandria database.

- calculated volume (Å³ per atom) = 16.25
- SG = Cmc2_1
- raw formation energy (meV per atom) = -900
- density of states at the Fermi level (states/eV/atom) = 0.181

Cell lengths 6.7145, 6.7145, 11.0814 Å; angles 90.00, 90.00, 144.16 degrees
Fractional positions:
1 Cu 0.2258 0.7742 0.5000
2 Cu 0.7742 0.2258 0.0000
3 Te 0.0831 0.9169 0.0057
4 Te 0.9169 0.0831 0.5057
5 Pb 0.3688 0.6312 0.8209
6 Pb 0.3754 0.6246 0.2014
7 Pb 0.6246 0.3754 0.7014
8 Pb 0.6312 0.3688 0.3209
9 O 0.0749 0.9251 0.5262
10 O 0.0773 0.9227 0.8344
11 O 0.2150 0.7850 0.2785
12 O 0.2658 0.7342 0.9975
13 O 0.3790 0.6210 0.5159
14 O 0.6210 0.3790 0.0159
15 O 0.7342 0.2658 0.4975
16 O 0.7850 0.2150 0.7785
17 O 0.9227 0.0773 0.3344
18 O 0.9251 0.0749 0.0262

The following is a PBE calculation of crystalline Pm4Nd4Ho5 at its relaxed geometry, from the Alexandria database.

- calculated volume (Å³ per atom) = 33.33
- SG = I4/m
- energy of formation (meV/atom) = 16.7
- density of states at the Fermi level (states/eV/atom) = 1.415

Cell lengths 9.5710, 9.5710, 9.5710 Å; angles 94.06, 94.06, 149.15 degrees
Fractional positions:
1 Pm 0.1525 0.7714 0.9240
2 Pm 0.2286 0.1525 0.3811
3 Pm 0.7714 0.8475 0.6189
4 Pm 0.8475 0.2286 0.0760
5 Nd 0.0787 0.3835 0.4622
6 Nd 0.3835 0.9213 0.3048
7 Nd 0.6165 0.0787 0.6952
8 Nd 0.9213 0.6165 0.5378
9 Ho 0.0000 0.0000 0.0000
10 Ho 0.3106 0.5384 0.8490
11 Ho 0.4616 0.3106 0.7723
12 Ho 0.5384 0.6894 0.2277
13 Ho 0.6894 0.4616 0.1510

The following is a PBE calculation of crystalline Nb2InHgSb at its relaxed geometry, from the Alexandria database.

- calculated volume (Å³ per atom) = 28.93
- SG = P4/mmm
- raw formation energy (meV per atom) = 1302
- density of states at the Fermi level (states/eV/atom) = 1.003

Cell lengths 5.1531, 5.1531, 5.4473 Å; angles 90.00, 90.00, 90.00 degrees
Fractional positions:
1 Nb 0.0000 0.5000 0.0000
2 Nb 0.5000 0.0000 0.0000
3 In 0.0000 0.0000 0.5000
4 Hg 0.5000 0.5000 0.5000
5 Sb 0.0000 0.0000 0.0000

The following is a PBE calculation of crystalline Cs2ScHgBr6 at its relaxed geometry, from the Alexandria database.

- calculated volume (Å³ per atom) = 37.68
- SG = Fm-3m
- raw formation energy (meV per atom) = -1439
- density of states at the Fermi level (states/eV/atom) = 0.418

Cell lengths 8.1073, 8.1073, 8.1073 Å; angles 60.00, 60.00, 60.00 degrees
Fractional positions:
1 Cs 0.2500 0.2500 0.2500
2 Cs 0.7500 0.7500 0.7500
3 Sc 0.0000 0.0000 0.0000
4 Hg 0.5000 0.5000 0.5000
5 Br 0.2330 0.2330 0.7670
6 Br 0.2330 0.7670 0.2330
7 Br 0.2330 0.7670 0.7670
8 Br 0.7670 0.2330 0.2330
9 Br 0.7670 0.2330 0.7670
10 Br 0.7670 0.7670 0.2330